Crystalline HoHf2 at its relaxed geometry, computed with PBE.

Structure (POSCAR):
```
HoHf2
1.0
5.6231 0.0000 0.0000
0.0000 5.6231 0.0000
0.0000 0.0000 5.4970
Hf Ho
4 2
Direct
0.1650 0.8350 0.5000 Hf
0.6650 0.6650 0.0000 Hf
0.8350 0.1650 0.5000 Hf
0.3350 0.3350 0.0000 Hf
0.5000 0.5000 0.5000 Ho
0.0000 0.0000 0.0000 Ho
```

Calculated values
**VASP energy**: -6.79 eV/atom
**ΔE to the lowest computed polymorph**: 1254.8 meV/atom
**Calculated formation energy**: 1377 meV per atom